# 1
The following is a DFT calculation (PBE) of crystalline Pm2NdSm6Y at its relaxed geometry.

Calculated values
DOS at the Fermi energy in states/eV/atom: 1.443
Uncorrected energy in eV/atom: -4.793
M_tot in μB per formula unit: 0.00
SG: C2/c (15)
ΔH_f (0 K) in eV per atom: 0.11

Unit cell a=9.8337 b=8.9445 c=8.9445 alpha=118.21 beta=94.26 gamma=94.26
Fractional positions:
Pm  0.4572  0.8027  0.7015
Pm  0.0428  0.2985  0.1973
Pm  0.5428  0.1973  0.2985
Pm  0.9572  0.7015  0.8027
Nd  0.2500  0.9792  0.0208
Nd  0.7500  0.0208  0.9792
Sm  0.0554  0.1208  0.7481
Sm  0.4446  0.2519  0.8792
Sm  0.9446  0.8792  0.2519
Sm  0.5554  0.7481  0.1208
Sm  0.3146  0.9815  0.4296
Sm  0.1854  0.5704  0.0185
Sm  0.6854  0.0185  0.5704
Sm  0.8146  0.4296  0.9815
Sm  0.1204  0.7068  0.4947
Sm  0.3796  0.5053  0.2932
Sm  0.8796  0.2932  0.5053
Sm  0.6204  0.4947  0.7068
Y  0.2500  0.4078  0.5922
Y  0.7500  0.5922  0.4078

# 2
The following is a DFT calculation (PBE) of crystalline Ta2TcOs at its relaxed geometry.

Calculated values
DOS at the Fermi energy in states/eV/atom: 0.901
Uncorrected energy in eV/atom: -11.468
M_tot in μB per formula unit: 0.00
SG: C2/m (12)
ΔH_f (0 K) in eV per atom: -0.14

Unit cell a=5.3265 b=5.2072 c=2.8169 alpha=78.56 beta=81.89 gamma=118.25
Fractional positions:
Os  0.5000  0.5000  0.0000
Ta  0.0000  0.0000  0.0000
Ta  0.5000  0.0000  0.5000
Tc  0.0000  0.5000  0.5000

# 3
The following is a DFT calculation (PBE) of crystalline Tm3B7Mo at its relaxed geometry.

Calculated values
DOS at the Fermi energy in states/eV/atom: 0.142
Uncorrected energy in eV/atom: -7.102
M_tot in μB per formula unit: 0.00
SG: Cmcm (63)
ΔH_f (0 K) in eV per atom: -0.65

Unit cell a=3.4346 b=8.0753 c=9.3981 alpha=90.00 beta=90.00 gamma=102.28
Fractional positions:
Tm  0.1069  0.2138  0.4405
Tm  0.8931  0.7862  0.5595
Tm  0.2438  0.4875  0.7500
Tm  0.7562  0.5125  0.2500
Tm  0.1069  0.2138  0.0595
Tm  0.8931  0.7862  0.9405
B  0.4534  0.9067  0.7500
B  0.5466  0.0933  0.2500
B  0.4811  0.9622  0.4088
B  0.5189  0.0378  0.5912
B  0.5189  0.0378  0.9088
B  0.4811  0.9622  0.0912
B  0.3649  0.7297  0.3530
B  0.6351  0.2703  0.6470
B  0.2722  0.5444  0.4669
B  0.7278  0.4556  0.5331
B  0.7278  0.4556  0.9669
B  0.2722  0.5444  0.0331
B  0.3649  0.7297  0.1470
B  0.6351  0.2703  0.8530
Mo  0.9471  0.8941  0.2500
Mo  0.0529  0.1059  0.7500

# 4
The following is a DFT calculation (PBE) of crystalline Ca2Pd5Pt5 at its relaxed geometry.

Calculated values
DOS at the Fermi energy in states/eV/atom: 0.873
Uncorrected energy in eV/atom: -5.497
M_tot in μB per formula unit: 0.00
SG: Pmmm (47)
ΔH_f (0 K) in eV per atom: -0.48

Unit cell a=4.4606 b=5.3496 c=9.2857 alpha=90.00 beta=90.00 gamma=90.00
Fractional positions:
Ca  0.0000  0.5000  0.0000
Ca  0.0000  0.0000  0.5000
Pd  0.0000  0.5000  0.3332
Pd  0.0000  0.0000  0.8310
Pd  0.0000  0.0000  0.1690
Pd  0.0000  0.5000  0.6668
Pd  0.5000  0.0000  0.0000
Pt  0.5000  0.5000  0.5000
Pt  0.5000  0.7511  0.2514
Pt  0.5000  0.2489  0.7486
Pt  0.5000  0.2489  0.2514
Pt  0.5000  0.7511  0.7486

# 5
The following is a DFT calculation (PBE) of crystalline LiNi14Mo at its relaxed geometry.

Calculated values
DOS at the Fermi energy in states/eV/atom: 1.569
Uncorrected energy in eV/atom: -5.867
M_tot in μB per formula unit: 6.42
SG: P4/mmm (123)
ΔH_f (0 K) in eV per atom: -0.01

Unit cell a=5.0156 b=5.0156 c=7.1135 alpha=90.00 beta=90.00 gamma=90.01
Each line ends with the local moment (μB).
Fractional positions:
Li  0.3750  0.3750  0.5000  -0.01
Ni  0.8750  0.8750  0.0000  0.85
Ni  0.3750  0.3750  0.0000  0.58
Ni  0.8750  0.3750  0.5000  0.27
Ni  0.8750  0.3750  0.0000  0.55
Ni  0.3750  0.8750  0.5000  0.27
Ni  0.3750  0.8750  0.0000  0.55
Ni  0.6245  0.1255  0.2457  0.46
Ni  0.6245  0.1255  0.7543  0.46
Ni  0.1255  0.6245  0.2457  0.46
Ni  0.1255  0.6245  0.7543  0.46
Ni  0.6244  0.6244  0.2457  0.46
Ni  0.6244  0.6244  0.7543  0.46
Ni  0.1256  0.1256  0.2457  0.46
Ni  0.1256  0.1256  0.7543  0.46
Mo  0.8750  0.8750  0.5000  -0.03

# 6
The following is a DFT calculation (PBE) of crystalline K2Li2Ga at its relaxed geometry.

Calculated values
Energy above the lowest structure with this stoichiometry in eV per atom: 0.231
DOS at the Fermi energy in states/eV/atom: 0.434
Uncorrected energy in eV/atom: -1.478
M_tot in μB per formula unit: 0.00
SG: P4/mbm (127)
ΔH_f (0 K) in eV per atom: 0.33

Unit cell a=10.2086 b=10.2086 c=3.5130 alpha=90.00 beta=90.00 gamma=90.00
Fractional positions:
K  0.3042  0.8042  0.0000
K  0.8042  0.6958  0.0000
K  0.6958  0.1958  0.0000
K  0.1958  0.3042  0.0000
Ga  0.0000  0.0000  0.0000
Ga  0.5000  0.5000  0.0000
Li  0.0982  0.5982  0.5000
Li  0.5982  0.9018  0.5000
Li  0.9018  0.4018  0.5000
Li  0.4018  0.0982  0.5000

# 7
The following is a DFT calculation (PBE) of crystalline VNiTe2 at its relaxed geometry.

Calculated values
DOS at the Fermi energy in states/eV/atom: 0.775
Uncorrected energy in eV/atom: -5.277
M_tot in μB per formula unit: 0.97
Energy relative to the elements, uncorrected in eV per atom: 0.019
SG: I-42d (122)

Unit cell a=5.9588 b=5.9588 c=7.2940 alpha=65.89 beta=65.89 gamma=90.00
Each line ends with the local moment (μB).
Fractional positions:
Ni  0.0000  0.0000  0.0000  -0.72
Ni  0.7500  0.2500  0.5000  -0.72
Te  0.6406  0.1250  0.2500  -0.15
Te  0.1094  0.6250  0.2500  -0.15
Te  0.3750  0.3594  0.7500  -0.15
Te  0.8750  0.8906  0.7500  -0.15
V  0.5000  0.5000  0.0000  1.90
V  0.2500  0.7500  0.5000  1.90

# 8
The following is a DFT calculation (PBE) of crystalline TcTe2As at its relaxed geometry.

Calculated values
DOS at the Fermi energy in states/eV/atom: 0.531
Uncorrected energy in eV/atom: -5.283
M_tot in μB per formula unit: 0.00
Energy relative to the elements, uncorrected in eV per atom: 0.042
SG: P4mm (99)

Unit cell a=3.1239 b=3.1239 c=9.8709 alpha=90.00 beta=90.00 gamma=90.00
Fractional positions:
As  0.0000  0.0000  0.5852
Te  0.0000  0.0000  0.9118
Te  0.5000  0.5000  0.2621
Tc  0.5000  0.5000  0.7408

# 9
The following is a DFT calculation (PBE) of crystalline Pm5CoHg at its relaxed geometry.

Calculated values
DOS at the Fermi energy in states/eV/atom: 1.096
Uncorrected energy in eV/atom: -4.534
M_tot in μB per formula unit: 0.00
SG: C2/c (15)
ΔH_f (0 K) in eV per atom: -0.08

Unit cell a=6.2226 b=6.2226 c=11.7058 alpha=75.35 beta=75.35 gamma=71.44
Fractional positions:
Pm  0.9412  0.5853  0.1334
Pm  0.2053  0.5622  0.5534
Pm  0.5853  0.9412  0.6334
Pm  0.0128  0.9872  0.2500
Pm  0.4378  0.7947  0.9466
Pm  0.5622  0.2053  0.0534
Pm  0.9872  0.0128  0.7500
Pm  0.4147  0.0588  0.3666
Pm  0.7947  0.4378  0.4466
Pm  0.0588  0.4147  0.8666
Co  0.0000  0.0000  0.0000
Co  0.0000  0.0000  0.5000
Hg  0.4396  0.5604  0.2500
Hg  0.5604  0.4396  0.7500

# 10
The following is a DFT calculation (PBE) of crystalline LaYSc2Co at its relaxed geometry.

Calculated values
Energy above the lowest structure with this stoichiometry in eV per atom: 0.075
DOS at the Fermi energy in states/eV/atom: 1.531
Uncorrected energy in eV/atom: -6.229
M_tot in μB per formula unit: 0.01
SG: P4/mmm (123)
ΔH_f (0 K) in eV per atom: 0.00

Unit cell a=5.1110 b=5.1110 c=5.1932 alpha=90.00 beta=90.00 gamma=90.00
Fractional positions:
Y  0.5000  0.5000  0.5000
Sc  0.0000  0.5000  0.0000
Sc  0.5000  0.0000  0.0000
Co  0.0000  0.0000  0.0000
La  0.0000  0.0000  0.5000

Repeat the fourth record exactly.
The following is a DFT calculation (PBE) of crystalline Ca2Pd5Pt5 at its relaxed geometry.

Calculated values
DOS at the Fermi energy in states/eV/atom: 0.873
Uncorrected energy in eV/atom: -5.497
M_tot in μB per formula unit: 0.00
SG: Pmmm (47)
ΔH_f (0 K) in eV per atom: -0.48

Unit cell a=4.4606 b=5.3496 c=9.2857 alpha=90.00 beta=90.00 gamma=90.00
Fractional positions:
Ca  0.0000  0.5000  0.0000
Ca  0.0000  0.0000  0.5000
Pd  0.0000  0.5000  0.3332
Pd  0.0000  0.0000  0.8310
Pd  0.0000  0.0000  0.1690
Pd  0.0000  0.5000  0.6668
Pd  0.5000  0.0000  0.0000
Pt  0.5000  0.5000  0.5000
Pt  0.5000  0.7511  0.2514
Pt  0.5000  0.2489  0.7486
Pt  0.5000  0.2489  0.2514
Pt  0.5000  0.7511  0.7486

Repeat the eighth record exactly.
The following is a DFT calculation (PBE) of crystalline TcTe2As at its relaxed geometry.

Calculated values
DOS at the Fermi energy in states/eV/atom: 0.531
Uncorrected energy in eV/atom: -5.283
M_tot in μB per formula unit: 0.00
Energy relative to the elements, uncorrected in eV per atom: 0.042
SG: P4mm (99)

Unit cell a=3.1239 b=3.1239 c=9.8709 alpha=90.00 beta=90.00 gamma=90.00
Fractional positions:
As  0.0000  0.0000  0.5852
Te  0.0000  0.0000  0.9118
Te  0.5000  0.5000  0.2621
Tc  0.5000  0.5000  0.7408

Q: Look up the uncorrected energy of the tenth one.
A: -6.229 eV/atom

Q: What is the uncorrected energy in the third record?
A: -7.102 eV/atom